[1]
Entry from Alexandria via LeMat-Bulk: an optimized crystal structure of ZnTcSn6 (PBE).

Geometry as POSCAR:
```
ZnTcSn6
1.0
5.907 0.432 0.103
-1.797 5.643 0.103
-0.678 -1.003 6.118
Zn Tc Sn
1 1 6
Cartesian
0.000 0.000 0.000
1.716 2.536 3.162
0.304 0.449 3.946
3.072 1.216 1.285
3.128 4.623 2.379
3.446 1.769 5.040
0.360 3.857 5.040
-0.014 3.304 1.285
```

Summary:
**Calculated density**: 6.93 g/cm³
**DOS(E_F)**: 4.77 states/eV/cell
**ΔE_f**: 1.5 eV per formula unit


[2]
Entry from Alexandria via LeMat-Bulk: an optimized crystal structure of ZnTcSn (PBE).

Geometry as POSCAR:
```
ZnTcSn
1.0
4.912 0.452 0.333
0.746 4.852 -0.817
2.126 0.759 4.449
Sn Zn Tc
2 2 2
Cartesian
3.586 4.356 2.605
4.197 1.707 1.359
1.348 3.758 0.976
6.435 2.305 2.988
3.791 4.049 -0.339
3.993 2.014 4.304
```

Summary:
**Calculated density**: 9.05 g/cm³
**DOS(E_F)**: 1.22 states/eV/cell
**Relative energy among the computed polymorphs**: 0.013 eV per atom
**ΔE_f**: 0.5 eV per formula unit


[3]
Entry from Alexandria via LeMat-Bulk: an optimized crystal structure of ZnTcSn2 (PBE).

Geometry as POSCAR:
```
ZnTcSn2
1.0
-2.390 -3.664 -6.507
4.997 -5.862 1.465
-0.712 -6.107 -1.024
Zn Sn Tc
2 4 2
Cartesian
1.304 -4.763 -2.521
2.795 -8.366 -1.040
-1.117 -4.656 -4.330
2.716 -5.541 0.036
0.298 -7.981 -2.701
1.894 -13.086 -5.137
0.000 0.000 0.000
-0.899 -7.267 -5.026
```

Summary:
**Calculated density**: 7.60 g/cm³
**DOS(E_F)**: 4.72 states/eV/cell
**ΔE_f**: 2.3 eV per formula unit